(1)
A relaxed BeP2W crystal, computed with GGA-PBE.

**Total moment**: 0.00 μB/cell
**Energy of formation**: 0.174 eV/atom

a b c (Å): 3.1374 4.1330 7.6868
angles (deg): 90.00 90.00 90.00
Space group Imm2 (No. 44)
Inequivalent atoms, fractional coordinates:
1 Be 0.0000 0.0000 0.0000
2 P 0.0000 0.0000 0.4555
3 P 0.0000 0.5000 0.6952
4 W 0.0000 0.5000 0.2326



(2)
A relaxed Ti2GaN crystal, computed with GGA-PBE.

**Total moment**: 0.00 μB/cell
**Energy relative to the elements, uncorrected**: -1166 meV/atom

a b c (Å): 3.0107 3.0107 20.1438
angles (deg): 90.00 90.00 120.00
Space group R-3m (No. 166, hexagonal axes)
Inequivalent atoms, fractional coordinates:
1 Ti 0.0000 0.0000 0.2241
2 Ga 0.0000 0.0000 0.0000
3 N 0.0000 0.0000 0.5000



(3)
A relaxed RbBaVS2 crystal, computed with GGA-PBE.

**Total moment**: 0.00 μB/cell
**Energy relative to the elements, uncorrected**: -268 meV/atom

a b c (Å): 4.9011 4.9011 5.1675
angles (deg): 90.00 90.00 90.00
Space group P4/mmm (No. 123)
Inequivalent atoms, fractional coordinates:
1 Rb 0.0000 0.0000 0.0000
2 Ba 0.5000 0.5000 0.0000
3 V 0.0000 0.0000 0.5000
4 S 0.0000 0.5000 0.5000



Q: Which value of total moment does entry 1 give?
A: 0.00 μB/cell